The following is a DFT calculation (GGA-PBEsol) of Ba2YTa after structural relaxation.

Calculated values
Energy relative to the elements   0.952 eV/atom
Final energy   -4.965 eV per atom
Calculated density   7.14 Mg/m³
N(E_F)   6.734 states/eV/f.u.

Structure (CIF):
```
data_Ba2YTa
_chemical_formula_sum 'Ba4 Y2 Ta2'
_cell_length_a 4.915
_cell_length_b 4.915
_cell_length_c 10.493
_cell_angle_alpha 90.00
_cell_angle_beta 90.00
_cell_angle_gamma 90.00
_space_group_name_H-M_alt 'I 4/m m m'
_space_group_IT_number 139
_space_group_name_Hall '-I 4 2'
loop_
_atom_site_label
_atom_site_type_symbol
_atom_site_fract_x
_atom_site_fract_y
_atom_site_fract_z
Ba1 Ba 0.000 0.500 0.250
Y1 Y 0.000 0.000 0.000
Ta1 Ta 0.000 0.000 0.500
```